(1)
A crystal of KSrOs relaxed with PBEsol, computed with SCAN.

Computed properties:
ΔH_f (0 K): 1.0806 eV per atom

POSCAR file:
```
KSrOs
1.0
-1.416 2.132 7.577
1.416 -2.132 7.577
1.416 2.132 -7.577
K Sr Os
1 1 1
Direct
0.000 0.000 0.000
0.246 0.246 0.000
0.640 0.640 0.000
```

***

(2)
A crystal of KTaOs2 relaxed with PBEsol, computed with SCAN.

Computed properties:
ΔH_f (0 K): 0.9719 eV per atom

POSCAR file:
```
KTaOs2
1.0
-1.333 2.596 5.417
1.333 -2.596 5.417
1.333 2.596 -5.417
K Ta Os
1 1 2
Direct
0.000 0.000 0.000
0.297 0.797 0.500
0.516 0.516 0.000
0.717 0.217 0.500
```

***

ΔH_f (0 K) of number 1 (KSrOs)? 1.0806 eV per atom

***

Which value of ΔH_f (0 K) does entry 2 give? 0.9719 eV per atom

***

Repeat the first record exactly.
A crystal of KSrOs relaxed with PBEsol, computed with SCAN.

Computed properties:
ΔH_f (0 K): 1.0806 eV per atom

POSCAR file:
```
KSrOs
1.0
-1.416 2.132 7.577
1.416 -2.132 7.577
1.416 2.132 -7.577
K Sr Os
1 1 1
Direct
0.000 0.000 0.000
0.246 0.246 0.000
0.640 0.640 0.000
```